The following is a PBE+U calculation of a geometry-optimized MnO8 structure, from Alexandria.

Cell: 6.145 6.145 6.145 Å, 97.22 97.22 138.47°
Fractional positions:
Mn: 0.000 0.000 0.000
O: 0.000 0.424 0.424
O: 0.000 0.576 0.576
O: 0.392 0.392 0.784
O: 0.392 0.608 0.000
O: 0.424 0.000 0.424
O: 0.576 0.000 0.576
O: 0.608 0.392 0.000
O: 0.608 0.608 0.216

Computed properties:
The calculation puts the total energy at -4.6867 eV per atom.


The following is a PBE+U calculation of a geometry-optimized MnO4 structure, from Alexandria.

Cell: 7.160 7.160 7.160 Å, 135.83 135.83 64.24°
Fractional positions:
Mn: 0.375 0.625 0.750
Mn: 0.625 0.375 0.250
O: 0.207 0.702 0.505
O: 0.298 0.303 0.505
O: 0.298 0.793 0.995
O: 0.303 0.298 0.005
O: 0.697 0.702 0.995
O: 0.702 0.207 0.005
O: 0.702 0.697 0.495
O: 0.793 0.298 0.495

Computed properties:
The calculation puts the total energy at -5.5051 eV per atom.


The following is a PBE+U calculation of a geometry-optimized Mn5O8 structure, from Alexandria.

Cell: 6.007 6.007 4.975 Å, 106.87 106.87 58.40°
Fractional positions:
Mn: 0.000 0.000 0.000
Mn: 0.259 0.741 0.500
Mn: 0.279 0.279 0.844
Mn: 0.721 0.721 0.156
Mn: 0.741 0.259 0.500
O: 0.103 0.103 0.410
O: 0.114 0.662 0.104
O: 0.338 0.886 0.896
O: 0.394 0.394 0.569
O: 0.606 0.606 0.431
O: 0.662 0.114 0.104
O: 0.886 0.338 0.896
O: 0.897 0.897 0.590

Computed properties:
The value obtained for the energy relative to the lowest polymorph listed for this composition is 0.0000 eV/atom.


Looking at M_tot for the records above, in order, we have 10.97, 2.00, 19.00 Bohr magnetons per cell.